Record 1
Density functional theory data (GGA-PBE) for a relaxed structure of YNiPd2Pb.

density of states at the Fermi level: 4.028 states/eV/f.u.
ΔE_f: 282 meV/atom

The structure in CIF format:
```
data_YNiPd2Pb
_chemical_formula_sum 'Y1 Ni1 Pd2 Pb1'
_symmetry_space_group_name_H-M 'P 4/m m m'
_symmetry_Int_Tables_number 123
_symmetry_space_group_name_Hall '-P 4 2'
_cell_length_a 5.041
_cell_length_b 5.041
_cell_length_c 4.755
_cell_angle_alpha 90.00
_cell_angle_beta 90.00
_cell_angle_gamma 90.00
loop_
_atom_site_label
_atom_site_type_symbol
_atom_site_fract_x
_atom_site_fract_y
_atom_site_fract_z
_atom_site_occupancy
Y1 Y 0.000 0.000 0.000 1
Ni1 Ni 0.500 0.500 0.000 1
Pd1 Pd 0.000 0.500 0.500 1
Pb1 Pb 0.500 0.500 0.500 1
```

=====

Record 2
Density functional theory data (GGA-PBE) for a relaxed structure of YNi2PdPb.

density of states at the Fermi level: 4.476 states/eV/f.u.
ΔE_f: 424 meV/atom

The structure in CIF format:
```
data_YNi2PdPb
_chemical_formula_sum 'Y1 Ni2 Pd1 Pb1'
_symmetry_space_group_name_H-M 'P 4/m m m'
_symmetry_Int_Tables_number 123
_symmetry_space_group_name_Hall '-P 4 2'
_cell_length_a 4.755
_cell_length_b 4.755
_cell_length_c 5.046
_cell_angle_alpha 90.00
_cell_angle_beta 90.00
_cell_angle_gamma 90.00
loop_
_atom_site_label
_atom_site_type_symbol
_atom_site_fract_x
_atom_site_fract_y
_atom_site_fract_z
_atom_site_occupancy
Y1 Y 0.000 0.000 0.000 1
Ni1 Ni 0.000 0.500 0.500 1
Pd1 Pd 0.500 0.500 0.000 1
Pb1 Pb 0.500 0.500 0.500 1
```

=====

Record 3
Density functional theory data (GGA-PBE) for a relaxed structure of Zn2NiPdPb.

density of states at the Fermi level: 2.060 states/eV/f.u.
ΔE_f: 258 meV/atom

The structure in CIF format:
```
data_Zn2NiPdPb
_chemical_formula_sum 'Zn2 Ni1 Pd1 Pb1'
_symmetry_space_group_name_H-M 'P 4/m m m'
_symmetry_Int_Tables_number 123
_symmetry_space_group_name_Hall '-P 4 2'
_cell_length_a 4.559
_cell_length_b 4.559
_cell_length_c 4.861
_cell_angle_alpha 90.00
_cell_angle_beta 90.00
_cell_angle_gamma 90.00
loop_
_atom_site_label
_atom_site_type_symbol
_atom_site_fract_x
_atom_site_fract_y
_atom_site_fract_z
_atom_site_occupancy
Zn1 Zn 0.000 0.500 0.000 1
Ni1 Ni 0.000 0.000 0.000 1
Pd1 Pd 0.500 0.500 0.500 1
Pb1 Pb 0.000 0.000 0.500 1
```

=====

Record 4
Density functional theory data (GGA-PBE) for a relaxed structure of ZrNiPdPb.

density of states at the Fermi level: 2.363 states/eV/f.u.
ΔE_f: -334 meV/atom

The structure in CIF format:
```
data_ZrNiPdPb
_chemical_formula_sum 'Zr4 Ni4 Pd4 Pb4'
_symmetry_space_group_name_H-M 'F -4 3 m'
_symmetry_Int_Tables_number 216
_symmetry_space_group_name_Hall 'F -4 2 3'
_cell_length_a 6.595
_cell_length_b 6.595
_cell_length_c 6.595
_cell_angle_alpha 90.00
_cell_angle_beta 90.00
_cell_angle_gamma 90.00
loop_
_atom_site_label
_atom_site_type_symbol
_atom_site_fract_x
_atom_site_fract_y
_atom_site_fract_z
_atom_site_occupancy
Zr1 Zr 0.000 0.000 0.000 1
Ni1 Ni 0.250 0.250 0.750 1
Pd1 Pd 0.250 0.250 0.250 1
Pb1 Pb 0.000 0.000 0.500 1
```

=====

Record 5
Density functional theory data (GGA-PBE) for a relaxed structure of Pm4NiPb2.

density of states at the Fermi level: 7.448 states/eV/f.u.
ΔE_f: -408 meV/atom
excess energy over the best structure of this formula in the dataset: 0 meV/atom

The structure in CIF format:
```
data_Pm4NiPb2
_chemical_formula_sum 'Pm8 Ni2 Pb4'
_symmetry_space_group_name_H-M 'C 1 2/m 1'
_symmetry_Int_Tables_number 12
_symmetry_space_group_name_Hall '-C 2y'
_cell_length_a 11.830
_cell_length_b 4.605
_cell_length_c 8.886
_cell_angle_alpha 90.00
_cell_angle_beta 121.01
_cell_angle_gamma 90.00
loop_
_atom_site_label
_atom_site_type_symbol
_atom_site_fract_x
_atom_site_fract_y
_atom_site_fract_z
_atom_site_occupancy
Pm1 Pm 0.071 0.000 0.346 1
Pm2 Pm 0.166 0.500 0.059 1
Ni1 Ni 0.000 0.000 0.000 1
Pb1 Pb 0.149 0.500 0.660 1
```

=====

Record 6
Density functional theory data (GGA-PBE) for a relaxed structure of PmNi4Pb.

density of states at the Fermi level: 6.480 states/eV/f.u.
ΔE_f: -204 meV/atom

The structure in CIF format:
```
data_PmNi4Pb
_chemical_formula_sum 'Pm4 Ni16 Pb4'
_symmetry_space_group_name_H-M 'F -4 3 m'
_symmetry_Int_Tables_number 216
_symmetry_space_group_name_Hall 'F -4 2 3'
_cell_length_a 7.215
_cell_length_b 7.215
_cell_length_c 7.215
_cell_angle_alpha 90.00
_cell_angle_beta 90.00
_cell_angle_gamma 90.00
loop_
_atom_site_label
_atom_site_type_symbol
_atom_site_fract_x
_atom_site_fract_y
_atom_site_fract_z
_atom_site_occupancy
Pm1 Pm 0.000 0.000 0.000 1
Ni1 Ni 0.125 0.125 0.375 1
Pb1 Pb 0.250 0.250 0.750 1
```